Record 1
A geometry-optimized Ca2MnZnP structure, computed with GGA-PBE.

Values from the calculation:
The symmetry is P4/mmm, No. 123. Its energy of formation from the pure elements is 29 kJ/mol of formula units. The mass density comes out at 2.79 g/cm³.

Cell: 5.4677 5.4677 4.6090 Å, 90.00 90.00 90.00°
Sites, in units of the cell vectors:
Ca1 0.0000 0.5000 0.0000
Ca2 0.5000 0.0000 0.0000
Mn1 0.0000 0.0000 0.5000
Zn1 0.5000 0.5000 0.5000
P1 0.5000 0.5000 0.0000

=====

Record 2
A geometry-optimized CaMnZnP structure, computed with GGA-PBE.

Values from the calculation:
The symmetry is P4/nmm, No. 129. Its energy of formation from the pure elements is -215 kJ/mol of formula units. The mass density comes out at 4.21 g/cm³.

Cell: 3.6881 3.6881 11.1119 Å, 90.00 90.00 90.00°
Sites, in units of the cell vectors:
Ca1 0.2500 0.2500 0.2440
Ca2 0.7500 0.7500 0.7560
Mn1 0.2500 0.7500 0.0000
Mn2 0.7500 0.2500 0.0000
Zn1 0.2500 0.7500 0.5000
Zn2 0.7500 0.2500 0.5000
P1 0.2500 0.2500 0.8764
P2 0.7500 0.7500 0.1236

=====

Record 3
A geometry-optimized Ca2PaMnS6 structure, computed with GGA-PBE.

Values from the calculation:
The symmetry is P4mm, No. 99. The calculation puts the energy relative to the elements, uncorrected at -1.308 eV/atom. The mass density comes out at 3.67 g/cm³.

Cell: 6.8805 6.8805 5.3420 Å, 90.00 90.00 90.00°
Sites, in units of the cell vectors:
Ca1 0.0000 0.5000 0.0000
Ca2 0.5000 0.0000 0.0000
Pa1 0.0000 0.0000 0.6545
Mn1 0.5000 0.5000 0.6188
S1 0.0000 0.0000 0.1681
S2 0.2624 0.2624 0.7063
S3 0.2624 0.7376 0.7063
S4 0.5000 0.5000 0.1982
S5 0.7376 0.2624 0.7063
S6 0.7376 0.7376 0.7063

=====

Record 4
A geometry-optimized CaPaMnS6 structure, computed with GGA-PBE.

Values from the calculation:
The symmetry is P312, No. 149. The calculation puts the energy relative to the elements, uncorrected at -0.966 eV/atom. The mass density comes out at 4.17 g/cm³.

Cell: 6.5041 6.5041 5.6401 Å, 90.00 90.00 120.00°
Sites, in units of the cell vectors:
Ca1 0.0000 0.0000 0.0000
Pa1 0.6667 0.3333 0.5000
Mn1 0.3333 0.6667 0.0000
S1 0.0290 0.3844 0.2419
S2 0.0290 0.6447 0.7581
S3 0.3553 0.3844 0.7581
S4 0.3553 0.9710 0.2419
S5 0.6156 0.6447 0.2419
S6 0.6156 0.9710 0.7581

=====

Record 5
A geometry-optimized CaPa2MnS8 structure, computed with GGA-PBE.

Values from the calculation:
The symmetry is P2/m, No. 10. The calculation puts the energy relative to the elements, uncorrected at -1.212 eV/atom. The mass density comes out at 4.55 g/cm³.

Cell: 5.9414 8.1199 6.1675 Å, 90.00 92.90 90.00°
Sites, in units of the cell vectors:
Ca1 0.0000 0.0000 0.0000
Pa1 0.5000 0.2553 0.5000
Pa2 0.5000 0.7447 0.5000
Mn1 0.0000 0.5000 0.0000
S1 0.2208 0.2910 0.1615
S2 0.2208 0.7090 0.1615
S3 0.2612 0.5000 0.6665
S4 0.2833 0.0000 0.6544
S5 0.7167 0.0000 0.3456
S6 0.7388 0.5000 0.3335
S7 0.7792 0.2910 0.8385
S8 0.7792 0.7090 0.8385

=====

Record 6
A geometry-optimized CaPaMnSe4 structure, computed with GGA-PBE.

Values from the calculation:
The symmetry is Imma, No. 74. The calculation puts the energy relative to the elements, uncorrected at -1.182 eV/atom. The mass density comes out at 5.58 g/cm³.

Cell: 7.9596 7.9596 7.9596 Å, 116.42 110.25 102.06°
Sites, in units of the cell vectors:
Ca1 0.4364 0.1864 0.2500
Ca2 0.5636 0.8136 0.7500
Pa1 0.0000 0.5000 0.5000
Pa2 0.5000 0.5000 0.0000
Mn1 0.0000 0.0000 0.5000
Mn2 0.0000 0.5000 0.0000
Se1 0.1650 0.2267 0.9383
Se2 0.2117 0.7733 0.4383
Se3 0.2843 0.3238 0.5394
Se4 0.2843 0.7449 0.9606
Se5 0.7157 0.2551 0.0394
Se6 0.7157 0.6762 0.4606
Se7 0.7883 0.2267 0.5617
Se8 0.8350 0.7733 0.0617

=====

Record 7
A geometry-optimized Ca2MnPb structure, computed with GGA-PBE.

Values from the calculation:
The symmetry is I-42d, No. 122. Its energy of formation from the pure elements is 134 kJ/mol of formula units. The mass density comes out at 4.01 g/cm³.

Cell: 7.8564 7.8564 7.8564 Å, 96.16 96.16 141.75°
Sites, in units of the cell vectors:
Ca1 0.3750 0.2207 0.3457
Ca2 0.7793 0.1250 0.1543
Ca3 0.8750 0.0293 0.6543
Ca4 0.9707 0.6250 0.8457
Mn1 0.0000 0.0000 0.0000
Mn2 0.7500 0.2500 0.5000
Pb1 0.2500 0.7500 0.5000
Pb2 0.5000 0.5000 0.0000

=====

Record 8
A geometry-optimized Ca2MnPb structure, computed with GGA-PBE.

Values from the calculation:
The symmetry is R-3m, No. 166. Its energy of formation from the pure elements is 72 kJ/mol of formula units. The mass density comes out at 4.91 g/cm³.

Cell: 10.3307 10.3307 10.3307 Å, 20.26 20.26 20.26°
Sites, in units of the cell vectors:
Ca1 0.2431 0.2431 0.2431
Ca2 0.7569 0.7569 0.7569
Mn1 0.5000 0.5000 0.5000
Pb1 0.0000 0.0000 0.0000

=====

Record 9
A geometry-optimized CaMnPb3 structure, computed with GGA-PBE.

Values from the calculation:
The symmetry is Pm-3m, No. 221. Its energy of formation from the pure elements is 462 kJ/mol of formula units. The mass density comes out at 6.04 g/cm³. The excess energy over the best structure of this formula in the dataset comes out at 0.883 eV per atom.

Cell: 5.8199 5.8199 5.8199 Å, 90.00 90.00 90.00°
Sites, in units of the cell vectors:
Ca1 0.0000 0.0000 0.0000
Mn1 0.5000 0.5000 0.5000
Pb1 0.0000 0.0000 0.5000
Pb2 0.0000 0.5000 0.0000
Pb3 0.5000 0.0000 0.0000

=====

Record 10
A geometry-optimized Ca2MnPb structure, computed with GGA-PBE.

Values from the calculation:
The symmetry is F-43m, No. 216. Its energy of formation from the pure elements is 44 kJ/mol of formula units. The mass density comes out at 5.51 g/cm³.

Cell: 5.2648 5.2648 5.2648 Å, 60.00 60.00 60.00°
Sites, in units of the cell vectors:
Ca1 0.0000 0.0000 0.0000
Ca2 0.2500 0.2500 0.2500
Mn1 0.7500 0.7500 0.7500
Pb1 0.5000 0.5000 0.5000

=====

Record 11
A geometry-optimized CaMnPb3 structure, computed with GGA-PBE.

Values from the calculation:
The symmetry is Pm-3m, No. 221. Its energy of formation from the pure elements is 36 kJ/mol of formula units. The mass density comes out at 7.94 g/cm³. The excess energy over the best structure of this formula in the dataset comes out at 0.000 eV per atom.

Cell: 5.3123 5.3123 5.3123 Å, 90.00 90.00 90.00°
Sites, in units of the cell vectors:
Ca1 0.0000 0.0000 0.0000
Mn1 0.5000 0.5000 0.5000
Pb1 0.0000 0.5000 0.5000
Pb2 0.5000 0.0000 0.5000
Pb3 0.5000 0.5000 0.0000

=====

Record 12
A geometry-optimized Ca2MnPb structure, computed with GGA-PBE.

Values from the calculation:
The symmetry is P4/mmm, No. 123. Its energy of formation from the pure elements is -8 kJ/mol of formula units. The mass density comes out at 5.19 g/cm³.

Cell: 4.8763 4.8763 4.6096 Å, 90.00 90.00 90.00°
Sites, in units of the cell vectors:
Ca1 0.0000 0.5000 0.0000
Ca2 0.5000 0.0000 0.0000
Mn1 0.0000 0.0000 0.5000
Pb1 0.5000 0.5000 0.5000

=====

Record 13
A geometry-optimized Ca2MnPb structure, computed with GGA-PBE.

Values from the calculation:
The symmetry is P4mm, No. 99. Its energy of formation from the pure elements is 43 kJ/mol of formula units. The mass density comes out at 4.78 g/cm³.

Cell: 3.7613 3.7613 8.3995 Å, 90.00 90.00 90.00°
Sites, in units of the cell vectors:
Ca1 0.0000 0.0000 0.0000
Ca2 0.5000 0.5000 0.3500
Mn1 0.0000 0.0000 0.5856
Pb1 0.5000 0.5000 0.7456

=====

Record 14
A geometry-optimized Ca2MnPb structure, computed with GGA-PBE.

Values from the calculation:
The symmetry is Amm2, No. 38. Its energy of formation from the pure elements is -9 kJ/mol of formula units. The mass density comes out at 4.92 g/cm³.

Cell: 4.8561 6.4761 6.4761 Å, 34.54 90.00 90.00°
Sites, in units of the cell vectors:
Ca1 0.0000 0.0000 0.0000
Ca2 0.5000 0.3128 0.3128
Mn1 0.5000 0.5903 0.5903
Pb1 0.0000 0.7215 0.7215

=====

Record 15
A geometry-optimized Ca4MnPb structure, computed with GGA-PBE.

Values from the calculation:
The symmetry is F-43m, No. 216. Its energy of formation from the pure elements is 280 kJ/mol of formula units. The mass density comes out at 3.36 g/cm³.

Cell: 6.6573 6.6573 6.6573 Å, 60.00 60.00 60.00°
Sites, in units of the cell vectors:
Ca1 0.1250 0.1250 0.1250
Ca2 0.1250 0.1250 0.6251
Ca3 0.1250 0.6251 0.1250
Ca4 0.6251 0.1250 0.1250
Mn1 0.7500 0.7500 0.7500
Pb1 0.5000 0.5000 0.5000

=====

Record 16
A geometry-optimized Ca2MnPb structure, computed with GGA-PBE.

Values from the calculation:
The symmetry is Cm, No. 8. Its energy of formation from the pure elements is 3 kJ/mol of formula units. The mass density comes out at 5.03 g/cm³.

Cell: 6.4982 6.4982 5.2646 Å, 113.88 113.88 34.13°
Sites, in units of the cell vectors:
Ca1 0.0000 0.0000 0.0000
Ca2 0.2122 0.2122 0.7129
Mn1 0.4521 0.4521 0.4517
Pb1 0.7632 0.7632 0.2640

=====

Record 17
A geometry-optimized Ca2MnPb structure, computed with GGA-PBE.

Values from the calculation:
The symmetry is I-4m2, No. 119. Its energy of formation from the pure elements is 27 kJ/mol of formula units. The mass density comes out at 5.16 g/cm³.

Cell: 5.9472 5.9472 5.9472 Å, 133.07 133.07 68.55°
Sites, in units of the cell vectors:
Ca1 0.0000 0.0000 0.0000
Ca2 0.7500 0.2500 0.5000
Mn1 0.2500 0.7500 0.5000
Pb1 0.5000 0.5000 0.0000

=====

Record 18
A geometry-optimized Ca2MnPb structure, computed with GGA-PBE.

Values from the calculation:
The symmetry is C2/m, No. 12. Its energy of formation from the pure elements is 66 kJ/mol of formula units. The mass density comes out at 4.80 g/cm³.

Cell: 5.4772 5.4772 6.3952 Å, 100.48 100.48 38.97°
Sites, in units of the cell vectors:
Ca1 0.2486 0.2486 0.2464
Ca2 0.7514 0.7514 0.7536
Mn1 0.5000 0.5000 0.0000
Pb1 0.0000 0.0000 0.5000

=====

Record 19
A geometry-optimized Ca2MnPb structure, computed with GGA-PBE.

Values from the calculation:
The symmetry is Pmmm, No. 47. Its energy of formation from the pure elements is 1 kJ/mol of formula units. The mass density comes out at 5.08 g/cm³.

Cell: 3.8182 3.8573 7.5987 Å, 90.00 90.00 90.00°
Sites, in units of the cell vectors:
Ca1 0.0000 0.0000 0.2368
Ca2 0.0000 0.0000 0.7632
Mn1 0.5000 0.5000 0.0000
Pb1 0.5000 0.5000 0.5000

=====

Record 20
A geometry-optimized Ca2Mn2Pb5 structure, computed with GGA-PBE.

Values from the calculation:
The symmetry is Pbam, No. 55. Its energy of formation from the pure elements is 36 kJ/mol of formula units. The mass density comes out at 8.20 g/cm³.

Cell: 7.1941 12.4801 5.5314 Å, 90.00 90.00 90.00°
Sites, in units of the cell vectors:
Ca1 0.1178 0.1342 0.0000
Ca2 0.3822 0.6342 0.0000
Ca3 0.6178 0.3658 0.0000
Ca4 0.8822 0.8658 0.0000
Mn1 0.1429 0.4297 0.5000
Mn2 0.3571 0.9297 0.5000
Mn3 0.6429 0.0703 0.5000
Mn4 0.8571 0.5703 0.5000
Pb1 0.0000 0.0000 0.5000
Pb2 0.1250 0.3955 0.0000
Pb3 0.1447 0.7261 0.5000
Pb4 0.3553 0.2261 0.5000
Pb5 0.3750 0.8955 0.0000
Pb6 0.5000 0.5000 0.5000
Pb7 0.6250 0.1045 0.0000
Pb8 0.6447 0.7739 0.5000
Pb9 0.8553 0.2739 0.5000
Pb10 0.8750 0.6045 0.0000

=====

Record 21
A geometry-optimized Ca2MnPb structure, computed with GGA-PBE.

Values from the calculation:
The symmetry is Cmmm, No. 65. Its energy of formation from the pure elements is -1 kJ/mol of formula units. The mass density comes out at 5.07 g/cm³.

Cell: 5.3987 5.3987 3.8487 Å, 90.00 90.00 90.06°
Sites, in units of the cell vectors:
Ca1 0.0000 0.5000 0.0000
Ca2 0.5000 0.0000 0.0000
Mn1 0.0000 0.0000 0.5000
Pb1 0.5000 0.5000 0.5000

=====

Record 22
A geometry-optimized CaMn2PdPb structure, computed with GGA-PBE.

Values from the calculation:
The symmetry is P4/mmm, No. 123. Its energy of formation from the pure elements is 164 kJ/mol of formula units. The mass density comes out at 5.91 g/cm³.

Cell: 4.9895 4.9895 5.2280 Å, 90.00 90.00 90.00°
Sites, in units of the cell vectors:
Ca1 0.0000 0.0000 0.0000
Mn1 0.0000 0.5000 0.5000
Mn2 0.5000 0.0000 0.5000
Pd1 0.5000 0.5000 0.5000
Pb1 0.5000 0.5000 0.0000

=====

Record 23
A geometry-optimized CaMn2PbS structure, computed with GGA-PBE.

Values from the calculation:
The symmetry is P4/mmm, No. 123. The calculation puts the energy relative to the elements, uncorrected at 0.611 eV/atom. The mass density comes out at 4.32 g/cm³.

Cell: 5.0709 5.0709 5.8234 Å, 90.00 90.00 90.00°
Sites, in units of the cell vectors:
Ca1 0.0000 0.0000 0.0000
Mn1 0.0000 0.5000 0.5000
Mn2 0.5000 0.0000 0.5000
Pb1 0.5000 0.5000 0.5000
S1 0.5000 0.5000 0.0000

=====

Record 24
A geometry-optimized Ca2MnSbPb structure, computed with GGA-PBE.

Values from the calculation:
The symmetry is P4/mmm, No. 123. The calculation puts the energy relative to the elements, uncorrected at 0.579 eV/atom. The mass density comes out at 3.78 g/cm³.

Cell: 5.9066 5.9066 5.8445 Å, 90.00 90.00 90.00°
Sites, in units of the cell vectors:
Ca1 0.0000 0.5000 0.0000
Ca2 0.5000 0.0000 0.0000
Mn1 0.0000 0.0000 0.5000
Sb1 0.5000 0.5000 0.5000
Pb1 0.5000 0.5000 0.0000

=====

Record 25
A geometry-optimized CaMnSbPb2 structure, computed with GGA-PBE.

Values from the calculation:
The symmetry is P4/mmm, No. 123. The calculation puts the energy relative to the elements, uncorrected at 0.997 eV/atom. The mass density comes out at 5.98 g/cm³.

Cell: 5.8086 5.8086 5.1973 Å, 90.00 90.00 90.00°
Sites, in units of the cell vectors:
Ca1 0.0000 0.0000 0.0000
Mn1 0.0000 0.0000 0.5000
Sb1 0.5000 0.5000 0.5000
Pb1 0.0000 0.5000 0.0000
Pb2 0.5000 0.0000 0.0000

=====

Record 26
A geometry-optimized CaTiMnPb2 structure, computed with GGA-PBE.

Values from the calculation:
The symmetry is P4/mmm, No. 123. Its energy of formation from the pure elements is 394 kJ/mol of formula units. The mass density comes out at 7.03 g/cm³.

Cell: 5.1182 5.1182 5.0232 Å, 90.00 90.00 90.00°
Sites, in units of the cell vectors:
Ca1 0.0000 0.0000 0.0000
Ti1 0.5000 0.5000 0.0000
Mn1 0.0000 0.0000 0.5000
Pb1 0.0000 0.5000 0.5000
Pb2 0.5000 0.0000 0.5000

=====

Record 27
A geometry-optimized Ca3MnPd structure, computed with GGA-PBE.

Values from the calculation:
The symmetry is Pm-3m, No. 221. Its energy of formation from the pure elements is 50 kJ/mol of formula units. The mass density comes out at 2.78 g/cm³. The excess energy over the best structure of this formula in the dataset comes out at 0.000 eV per atom.

Cell: 5.5186 5.5186 5.5186 Å, 90.00 90.00 90.00°
Sites, in units of the cell vectors:
Ca1 0.0000 0.0000 0.5000
Ca2 0.0000 0.5000 0.0000
Ca3 0.5000 0.0000 0.0000
Mn1 0.5000 0.5000 0.5000
Pd1 0.0000 0.0000 0.0000